A plane-wave DFT calculation with PBE-GGA was carried out for TeRu2C after structural relaxation.

Lattice parameters (Å, degrees): 5.203 5.203 10.162 90.00 90.00 90.00
Space group I-42d (No. 122)
Symmetry-distinct sites (fractional):
Te 0.000 0.000 0.000 [4 per cell]
Ru 0.148 0.250 0.625 [8 per cell]
C 0.000 0.000 0.500 [4 per cell]

Results
For the total magnetization, the calculation gives 0.00 μB/atom. The volume is 275.1 Å³/cell. Its energy above the most stable polymorph in this dataset is 0 meV per atom. The calculation puts the density of states at the Fermi level at 8.774 states/eV per cell.